Entry 1:
This record from Alexandria via LeMat-Bulk describes an optimized crystal structure of NaYBeBi2. The functional is PBE.

Calculated values
Crystal system = tetragonal
DFT total energy = -3.68 eV per atom
Space-group type = No. 123
DFT formation energy = 0.17 eV per atom

a = 5.2902 Å, b = 5.2902 Å, c = 4.7845 Å
α = 90.00°, β = 90.00°, γ = 90.00°
Element x y z (fractional)
Na1 0.0000 0.0000 0.0000
Y1 0.5000 0.5000 0.0000
Be1 0.0000 0.0000 0.5000
Bi1 0.0000 0.5000 0.5000
Bi2 0.5000 0.0000 0.5000

=====

Entry 2:
This record from Alexandria via LeMat-Bulk describes an optimized crystal structure of TaTi6In3. The functional is PBE.

Calculated values
Crystal system = monoclinic
DFT total energy = -6.85 eV per atom
Space-group type = No. 11
DFT formation energy = -0.11 eV per atom

a = 8.1649 Å, b = 4.7091 Å, c = 10.0239 Å
α = 90.00°, β = 105.77°, γ = 90.00°
Element x y z (fractional)
Ta1 0.0503 0.2500 0.3980
Ta2 0.9497 0.7500 0.6020
Ti1 0.0433 0.7500 0.8888
Ti2 0.1278 0.2500 0.6901
Ti3 0.1550 0.7500 0.1994
Ti4 0.2306 0.7500 0.4855
Ti5 0.3384 0.2500 0.2964
Ti6 0.4484 0.7500 0.0949
Ti7 0.5516 0.2500 0.9051
Ti8 0.6616 0.7500 0.7036
Ti9 0.7694 0.2500 0.5145
Ti10 0.8450 0.2500 0.8006
Ti11 0.8722 0.7500 0.3099
Ti12 0.9567 0.2500 0.1112
In1 0.2356 0.2500 0.9992
In2 0.3414 0.7500 0.7885
In3 0.4483 0.2500 0.6014
In4 0.5517 0.7500 0.3986
In5 0.6586 0.2500 0.2115
In6 0.7644 0.7500 0.0008

=====

Entry 3:
This record from Alexandria via LeMat-Bulk describes an optimized crystal structure of Cd3AgPd2. The functional is PBE.

Calculated values
Crystal system = orthorhombic
DFT total energy = -2.94 eV per atom
Space-group type = No. 65
DFT formation energy = -0.28 eV per atom

a = 4.7666 Å, b = 14.3501 Å, c = 3.1811 Å
α = 90.00°, β = 90.00°, γ = 90.00°
Element x y z (fractional)
Cd1 0.0000 0.0000 0.0000
Cd2 0.0000 0.3262 0.0000
Cd3 0.0000 0.6738 0.0000
Cd4 0.5000 0.1738 0.0000
Cd5 0.5000 0.5000 0.0000
Cd6 0.5000 0.8262 0.0000
Ag1 0.0000 0.5000 0.5000
Ag2 0.5000 0.0000 0.5000
Pd1 0.0000 0.1615 0.5000
Pd2 0.0000 0.8385 0.5000
Pd3 0.5000 0.3385 0.5000
Pd4 0.5000 0.6615 0.5000

=====

Entry 4:
This record from Alexandria via LeMat-Bulk describes an optimized crystal structure of Ho6GaRh2. The functional is PBE.

Calculated values
Crystal system = orthorhombic
DFT total energy = -5.63 eV per atom
Space-group type = No. 71
DFT formation energy = -0.60 eV per atom

a = 8.3649 Å, b = 8.3649 Å, c = 8.3649 Å
α = 112.77°, β = 110.96°, γ = 104.78°
Element x y z (fractional)
Ho1 0.0443 0.2397 0.8046
Ho2 0.1785 0.2828 0.4613
Ho3 0.1785 0.7172 0.8957
Ho4 0.3307 0.0255 0.6948
Ho5 0.3307 0.6359 0.3052
Ho6 0.4352 0.2397 0.1954
Ho7 0.5648 0.7603 0.8046
Ho8 0.6693 0.3641 0.6948
Ho9 0.6693 0.9745 0.3052
Ho10 0.8215 0.2828 0.1043
Ho11 0.8215 0.7172 0.5387
Ho12 0.9557 0.7603 0.1954
Ga1 0.0000 0.0000 0.0000
Ga2 0.5000 0.5000 0.0000
Rh1 0.1334 0.6334 0.5000
Rh2 0.3314 0.0000 0.3314
Rh3 0.6686 0.0000 0.6686
Rh4 0.8666 0.3666 0.5000

=====

> Which value of DFT formation energy does entry 2 give?

-0.11 eV per atom

=====

Repeat the first record exactly.
This record from Alexandria via LeMat-Bulk describes an optimized crystal structure of NaYBeBi2. The functional is PBE.

Calculated values
Crystal system = tetragonal
DFT total energy = -3.68 eV per atom
Space-group type = No. 123
DFT formation energy = 0.17 eV per atom

a = 5.2902 Å, b = 5.2902 Å, c = 4.7845 Å
α = 90.00°, β = 90.00°, γ = 90.00°
Element x y z (fractional)
Na1 0.0000 0.0000 0.0000
Y1 0.5000 0.5000 0.0000
Be1 0.0000 0.0000 0.5000
Bi1 0.0000 0.5000 0.5000
Bi2 0.5000 0.0000 0.5000